# 1
VASP calculation (GGA-PBE) on crystalline Ho3Sn3Pd2Pt at its relaxed geometry.

Values from the calculation:
- total magnetization (μB per atom) = 0.001
- space-group type = No. 189

Lattice parameters (Å, degrees): 7.517 7.517 3.998 90.00 90.00 120.00
Element x y z (fractional)
Ho: 0.595 0.595 0.000
Ho: 0.405 0.000 0.000
Ho: 0.000 0.405 0.000
Sn: 0.000 0.740 0.500
Sn: 0.740 0.000 0.500
Sn: 0.260 0.260 0.500
Pt: 0.000 0.000 0.000
Pd: 0.333 0.667 0.500
Pd: 0.667 0.333 0.500

# 2
VASP calculation (GGA-PBE) on crystalline SmLuB at its relaxed geometry.

Values from the calculation:
- total magnetization (μB per atom) = 0.001
- space-group type = No. 216

Lattice parameters (Å, degrees): 4.611 4.611 4.611 60.00 60.00 60.00
Element x y z (fractional)
Sm: 0.000 0.000 0.000
Lu: 0.750 0.750 0.750
B: 0.250 0.250 0.250

# 3
VASP calculation (GGA-PBE) on crystalline LiZnAg at its relaxed geometry.

Values from the calculation:
- space-group type = No. 216

Lattice parameters (Å, degrees): 4.321 4.321 4.321 60.00 60.00 60.00
Element x y z (fractional)
Li: 0.250 0.250 0.250
Zn: 0.750 0.750 0.750
Ag: 0.000 0.000 0.000

# 4
VASP calculation (GGA-PBE) on crystalline ScZnGe2 at its relaxed geometry.

Values from the calculation:
- total magnetization (μB per atom) = 0.008
- space-group type = No. 216

Lattice parameters (Å, degrees): 4.727 4.727 4.727 60.00 60.00 60.00
Element x y z (fractional)
Zn: 0.250 0.250 0.250
Ge: 0.750 0.750 0.750
Ge: 0.000 0.000 0.000
Sc: 0.500 0.500 0.500

# 5
VASP calculation (GGA-PBE) on crystalline TbDyAg2S4 at its relaxed geometry.

Values from the calculation:
- total magnetization (μB per atom) = 0.000
- space-group type = No. 35

Lattice parameters (Å, degrees): 6.549 6.549 4.131 90.00 90.00 90.02
Element x y z (fractional)
S: 0.701 0.701 0.268
S: 0.800 0.200 0.732
S: 0.200 0.800 0.732
S: 0.299 0.299 0.268
Ag: 0.000 0.500 0.000
Ag: 0.500 0.000 0.000
Tb: 0.500 0.500 0.775
Dy: 0.000 0.000 0.225

# 6
VASP calculation (GGA-PBE) on crystalline UZnFe at its relaxed geometry.

Values from the calculation:
- total magnetization (μB per atom) = 0.017
- space-group type = No. 216

Lattice parameters (Å, degrees): 4.467 4.467 4.467 60.00 60.00 60.00
Element x y z (fractional)
Fe: 0.250 0.250 0.250
Zn: 0.750 0.750 0.750
U: 0.000 0.000 0.000

For reference, total energy by record: -0.20818, -0.14943, -0.07329, -0.15643, -0.19325, -0.21534 Ha/atom.